# 1
# CsTlAgCl4

A relaxed structure of CsTlAgCl4 (GGA-PBE, Alexandria via LeMat-Bulk).

Unit cell a=7.3039 b=7.3332 c=9.0825 alpha=90.00 beta=113.71 gamma=90.00
Positions (direct):
Cs1 0.1041 0.2500 0.2081
Cs2 0.8959 0.7500 0.7919
Tl1 0.6153 0.7500 0.2307
Tl2 0.3847 0.2500 0.7693
Ag1 0.2536 0.7500 0.5071
Ag2 0.7464 0.2500 0.4929
Cl1 0.9019 0.2500 0.8038
Cl2 0.4105 0.7500 0.8210
Cl3 0.0981 0.7500 0.1962
Cl4 0.5895 0.2500 0.1790
Cl5 0.5000 0.5000 0.5000
Cl6 0.0000 0.0000 0.5000
Cl7 0.5000 0.0000 0.5000
Cl8 0.0000 0.5000 0.5000

Values from the calculation:
Its raw formation energy is -1.03 eV per atom. The space group is Cmcm, No. 63. The value obtained for the size of the total moment is 0.00 μB per cell. The final energy is -20.6 eV/f.u.



# 2
# Cs2TlAg2Cl6

A relaxed structure of Cs2TlAg2Cl6 (GGA-PBE, Alexandria via LeMat-Bulk).

Unit cell a=8.0730 b=8.0730 c=8.3896 alpha=61.24 beta=61.24 gamma=60.00
Positions (direct):
Cs1 0.7749 0.7749 0.6753
Cs2 0.2251 0.2251 0.3247
Tl1 0.0000 0.0000 0.0000
Ag1 0.4302 0.4302 0.7094
Ag2 0.5698 0.5698 0.2906
Cl1 0.7555 0.7555 0.2635
Cl2 0.2256 0.7555 0.2635
Cl3 0.7555 0.2256 0.2635
Cl4 0.2445 0.7744 0.7365
Cl5 0.7744 0.2445 0.7365
Cl6 0.2445 0.2445 0.7365

Values from the calculation:
Its raw formation energy is -1.08 eV per atom. The space group is R-3m, No. 166. The value obtained for the size of the total moment is 0.00 μB per cell. The final energy is -32.7 eV/f.u.



# 3
# Cs3Tl3AgCl8

A relaxed structure of Cs3Tl3AgCl8 (GGA-PBE, Alexandria via LeMat-Bulk).

Unit cell a=9.5330 b=9.5385 c=9.3560 alpha=121.13 beta=90.00 gamma=119.98
Site moments in Bohr magnetons follow the coordinates.
Positions (direct):
Cs1 0.5000 0.0000 0.5000  0.00
Cs2 0.5000 0.5000 0.5000  0.00
Cs3 0.0000 0.5000 0.5000  0.00
Tl1 0.0000 0.0000 0.0000  0.01
Tl2 0.0000 0.5000 0.0000  0.00
Tl3 0.5000 0.5000 0.0000  0.00
Ag1 0.0000 0.0000 0.5000  0.38
Cl1 0.2438 0.4876 0.2292  0.00
Cl2 0.7562 0.5124 0.7708  0.00
Cl3 0.8116 0.6232 0.3021  0.13
Cl4 0.1884 0.3768 0.6979  0.13
Cl5 0.7889 0.9864 0.2749  0.08
Cl6 0.2111 0.0136 0.7251  0.08
Cl7 0.1975 0.9864 0.2749  0.08
Cl8 0.8025 0.0136 0.7251  0.08

Values from the calculation:
Its raw formation energy is -1.24 eV per atom. The space group is C2/m, No. 12. The value obtained for the size of the total moment is 1.16 μB per cell. The final energy is -45.8 eV/f.u.



# 4
# CsTl2AgCl5

A relaxed structure of CsTl2AgCl5 (GGA-PBE, Alexandria via LeMat-Bulk).

Unit cell a=8.5407 b=8.5407 c=9.7606 alpha=115.95 beta=115.95 gamma=90.00
Positions (direct):
Cs1 0.2500 0.2500 0.5000
Cs2 0.7500 0.7500 0.5000
Tl1 0.1737 0.3263 0.0000
Tl2 0.6737 0.1737 0.0000
Tl3 0.3263 0.8263 0.0000
Tl4 0.8263 0.6737 0.0000
Ag1 0.2500 0.7500 0.5000
Ag2 0.7500 0.2500 0.5000
Cl1 0.9857 0.4857 0.2719
Cl2 0.7139 0.2139 0.7281
Cl3 0.0143 0.5143 0.7281
Cl4 0.2139 0.0143 0.7281
Cl5 0.5143 0.7139 0.7281
Cl6 0.7861 0.9857 0.2719
Cl7 0.4857 0.2861 0.2719
Cl8 0.2861 0.7861 0.2719
Cl9 0.5000 0.5000 0.0000
Cl10 0.0000 0.0000 0.0000

Values from the calculation:
Its raw formation energy is -1.00 eV per atom. The space group is I4/mcm, No. 140. The value obtained for the size of the total moment is 0.00 μB per cell. The final energy is -26.7 eV/f.u.



# 5
# Cs2TlAgCl5

A relaxed structure of Cs2TlAgCl5 (GGA-PBE, Alexandria via LeMat-Bulk).

Unit cell a=5.0536 b=5.0536 c=11.9072 alpha=90.00 beta=90.00 gamma=90.00
Positions (direct):
Cs1 0.5000 0.5000 0.2842
Cs2 0.5000 0.5000 0.7158
Tl1 0.0000 0.0000 0.0000
Ag1 0.0000 0.0000 0.5000
Cl1 0.0000 0.5000 0.5000
Cl2 0.5000 0.0000 0.5000
Cl3 0.0000 0.0000 0.7439
Cl4 0.0000 0.0000 0.2561
Cl5 0.5000 0.5000 0.0000

Values from the calculation:
Its raw formation energy is -1.24 eV per atom. The space group is P4/mmm, No. 123. The value obtained for the size of the total moment is 0.00 μB per cell. The final energy is -27.3 eV/f.u.



# 6
# CsTm2AgCl8

A relaxed structure of CsTm2AgCl8 (GGA-PBE, Alexandria via LeMat-Bulk).

Unit cell a=7.1433 b=7.1433 c=9.5250 alpha=67.98 beta=67.98 gamma=60.00
Positions (direct):
Cs1 0.5000 0.5000 0.5000
Tm1 0.3047 0.3047 0.0860
Tm2 0.6953 0.6953 0.9140
Ag1 0.0000 0.0000 0.0000
Cl1 0.2073 0.2073 0.3780
Cl2 0.6367 0.3317 0.1379
Cl3 0.7927 0.7927 0.6220
Cl4 0.8937 0.6367 0.1379
Cl5 0.1063 0.3633 0.8621
Cl6 0.3317 0.8937 0.1379
Cl7 0.6683 0.1063 0.8621
Cl8 0.3633 0.6683 0.8621

Values from the calculation:
Its raw formation energy is -1.91 eV per atom. The space group is R-3, No. 148. The value obtained for the size of the total moment is 0.00 μB per cell. The final energy is -50.3 eV/f.u.



# 7
# Cs3TmAg2Cl9

A relaxed structure of Cs3TmAg2Cl9 (GGA-PBE, Alexandria via LeMat-Bulk).

Unit cell a=7.5248 b=7.5248 c=9.3057 alpha=90.00 beta=90.00 gamma=120.00
Site moments in Bohr magnetons follow the coordinates.
Positions (direct):
Cs1 0.3333 0.6667 0.6785  0.00
Cs2 0.0000 0.0000 0.0000  0.00
Cs3 0.6667 0.3333 0.3215  0.00
Tm1 0.0000 0.0000 0.5000  0.01
Ag1 0.3333 0.6667 0.1540  0.11
Ag2 0.6667 0.3333 0.8460  0.11
Cl1 0.8362 0.1638 0.6609  0.01
Cl2 0.8362 0.6725 0.6609  0.01
Cl3 0.3275 0.1638 0.6609  0.01
Cl4 0.6725 0.8362 0.3391  0.01
Cl5 0.1638 0.3275 0.3391  0.01
Cl6 0.1638 0.8362 0.3391  0.01
Cl7 0.5000 0.0000 0.0000  0.06
Cl8 0.0000 0.5000 0.0000  0.06
Cl9 0.5000 0.5000 0.0000  0.06

Values from the calculation:
Its raw formation energy is -1.59 eV per atom. The space group is P-3m1, No. 164. The value obtained for the size of the total moment is 0.50 μB per cell. The final energy is -53.1 eV/f.u.



# 8
# Cs2TmAgCl6

A relaxed structure of Cs2TmAgCl6 (GGA-PBE, Alexandria via LeMat-Bulk).

Unit cell a=7.6281 b=7.6281 c=7.6281 alpha=60.00 beta=60.00 gamma=60.00
Positions (direct):
Cs1 0.7500 0.7500 0.7500
Cs2 0.2500 0.2500 0.2500
Tm1 0.0000 0.0000 0.0000
Ag1 0.5000 0.5000 0.5000
Cl1 0.7582 0.2418 0.2418
Cl2 0.2418 0.2418 0.7582
Cl3 0.2418 0.7582 0.7582
Cl4 0.2418 0.7582 0.2418
Cl5 0.7582 0.2418 0.7582
Cl6 0.7582 0.7582 0.2418

Values from the calculation:
Its raw formation energy is -1.86 eV per atom. The space group is Fm-3m, No. 225. The value obtained for the size of the total moment is 0.00 μB per cell. The final energy is -38.7 eV/f.u.



Which value of size of the total moment does entry 3 give? 1.16 μB per cell



final energy of number 6 (CsTm2AgCl8)? -50.3 eV/f.u.



What is the size of the total moment in the third record? 1.16 μB per cell